This record from Alexandria via LeMat-Bulk describes crystalline TaCrTc2 at its relaxed geometry. The functional is PBE.

```
4
Lattice="3.0933 0.0000 0.0000 0.0000 4.3299 0.0000 0.0000 0.0000 4.4169" Properties=species:S:1:pos:R:3 pbc="T T T"
Ta 0.0000 0.0000 0.0000
Cr 1.5466 0.0000 2.2084
Tc 0.0000 2.1649 2.2084
Tc 1.5466 2.1649 0.0000
```

Energy of formation from the pure elements ... -49 meV per atom
Raw total energy ... -0.390 hartree per atom
Spin magnetization ... 0.000 μB per atom
Calculated volume ... 59.16 Å³/cell
Symmetry ... Pmmm, No. 47

This record from Alexandria via LeMat-Bulk describes crystalline Ta2CrTc at its relaxed geometry. The functional is PBE.

```
8
Lattice="-3.4957 3.4957 2.7409 3.4957 -3.4957 2.7409 3.4957 3.4957 -2.7409" Properties=species:S:1:pos:R:3 pbc="T T T"
Ta 5.2436 1.7153 -0.6852
Ta 1.7153 1.7479 0.6852
Ta -1.7479 1.7805 2.0557
Ta 1.7805 1.7479 3.4261
Cr 0.0000 0.0000 0.0000
Cr 0.0000 3.4957 1.3705
Tc 3.4957 0.0000 1.3705
Tc 0.0000 0.0000 2.7409
```

Energy of formation from the pure elements ... 638 meV per atom
Raw total energy ... -0.378 hartree per atom
Spin magnetization ... 0.000 μB per atom
Calculated volume ... 133.98 Å³/cell
Symmetry ... I-42d, No. 122

This record from Alexandria via LeMat-Bulk describes crystalline Ta2CrTc at its relaxed geometry. The functional is PBE.

```
4
Lattice="-1.5852 2.2931 4.3111 1.5852 -2.2931 4.3111 1.5852 2.2931 -4.3111" Properties=species:S:1:pos:R:3 pbc="T T T"
Ta 0.0000 0.0000 2.1353
Ta 0.0000 0.0000 6.4870
Cr 1.5852 0.0000 0.0000
Tc 0.0000 2.2931 0.0000
```

Energy of formation from the pure elements ... -79 meV per atom
Raw total energy ... -0.404 hartree per atom
Spin magnetization ... 0.000 μB per atom
Calculated volume ... 62.69 Å³/cell
Symmetry ... Immm, No. 71

This record from Alexandria via LeMat-Bulk describes crystalline TaCrTc2 at its relaxed geometry. The functional is PBE.

```
4
Lattice="0.0000 3.0942 3.0942 3.0942 0.0000 3.0942 3.0942 3.0942 0.0000" Properties=species:S:1:pos:R:3 pbc="T T T"
Ta 0.0000 0.0000 0.0000
Cr 4.6413 4.6413 4.6413
Tc 1.5471 1.5471 1.5471
Tc 3.0942 3.0942 3.0942
```

Energy of formation from the pure elements ... -11 meV per atom
Raw total energy ... -0.388 hartree per atom
Spin magnetization ... 0.000 μB per atom
Calculated volume ... 59.25 Å³/cell
Symmetry ... F-43m, No. 216

This record from Alexandria via LeMat-Bulk describes crystalline TaCr2Tc2 at its relaxed geometry. The functional is PBE.

```
10
Lattice="7.1271 0.0000 0.0000 0.0000 7.1271 0.0000 0.0000 0.0000 2.8338" Properties=species:S:1:pos:R:3 pbc="T T T"
Ta 0.0000 0.0000 0.0000
Ta 3.5636 3.5636 0.0000
Cr 1.0107 2.5529 0.0000
Cr 2.5529 6.1164 0.0000
Cr 4.5742 1.0107 0.0000
Cr 6.1164 4.5742 0.0000
Tc 1.1265 4.6900 1.4169
Tc 2.4371 1.1265 1.4169
Tc 4.6900 6.0006 1.4169
Tc 6.0006 2.4371 1.4169
```

Energy of formation from the pure elements ... 164 meV per atom
Raw total energy ... -0.375 hartree per atom
Spin magnetization ... 0.000 μB per atom
Calculated volume ... 143.94 Å³/cell
Symmetry ... P4/mbm, No. 127

This record from Alexandria via LeMat-Bulk describes crystalline TaCrTc2 at its relaxed geometry. The functional is PBE.

```
4
Lattice="-1.8764 1.8764 4.3260 1.8764 -1.8764 4.3260 1.8764 1.8764 -4.3260" Properties=species:S:1:pos:R:3 pbc="T T T"
Ta 0.0000 0.0000 0.0000
Cr 0.0000 1.8764 2.1630
Tc 1.8764 0.0000 2.1630
Tc 0.0000 0.0000 4.3260
```

Energy of formation from the pure elements ... 141 meV per atom
Raw total energy ... -0.383 hartree per atom
Spin magnetization ... 0.455 μB per atom
Calculated volume ... 60.92 Å³/cell
Symmetry ... I-4m2, No. 119

This record from Alexandria via LeMat-Bulk describes crystalline Ta2CrTc at its relaxed geometry. The functional is PBE.

```
4
Lattice="2.8273 0.0000 0.0000 0.0000 4.4024 0.0000 -0.9878 0.0000 5.0488" Properties=species:S:1:pos:R:3 pbc="T T T"
Ta 0.0000 0.0000 0.0000
Ta 0.0626 2.2012 3.6757
Cr 0.9679 0.0000 2.5022
Tc 1.9112 2.2012 1.2138
```

Energy of formation from the pure elements ... -74 meV per atom
Raw total energy ... -0.404 hartree per atom
Spin magnetization ... 0.000 μB per atom
Calculated volume ... 62.84 Å³/cell
Symmetry ... Pm, No. 6

This record from Alexandria via LeMat-Bulk describes crystalline TaCrTc2 at its relaxed geometry. The functional is PBE.

```
4
Lattice="2.7432 0.0000 0.0000 0.0000 4.3088 0.0000 -0.9923 0.0000 5.0217" Properties=species:S:1:pos:R:3 pbc="T T T"
Ta 0.0000 0.0000 0.0000
Cr -0.0730 2.1544 3.7215
Tc 0.8047 0.0000 2.5688
Tc 1.8575 2.1544 1.2799
```

Energy of formation from the pure elements ... -1 meV per atom
Raw total energy ... -0.388 hartree per atom
Spin magnetization ... 0.000 μB per atom
Calculated volume ... 59.36 Å³/cell
Symmetry ... Pm, No. 6

Q: Which value of raw total energy does entry 6 give?
A: -0.383 hartree per atom

Q: What is the formula in the seventh record?
A: Ta2CrTc